# Hf9Zr4Al11 (GGA-PBE, relaxed)
data_Hf9Zr4Al11
_chemical_formula_sum 'Hf18 Zr8 Al22'
_symmetry_space_group_name_H-M 'C m m m'
_symmetry_Int_Tables_number 65
_symmetry_space_group_name_Hall '-C 2 2'
_cell_length_a 17.0205
_cell_length_b 18.1483
_cell_length_c 3.0025
_cell_angle_alpha 90.00
_cell_angle_beta 90.00
_cell_angle_gamma 90.00
loop_
_atom_site_label
_atom_site_fract_x
_atom_site_fract_y
_atom_site_fract_z
Hf1 0.0000 0.0000 0.0000
Hf2 0.1212 0.2468 0.0000
Hf3 0.1208 0.4145 0.0000
Zr1 0.1429 0.0848 0.0000
Al1 0.0000 0.1475 0.5000
Al2 0.0000 0.3309 0.5000
Al3 0.0000 0.5000 0.5000
Al4 0.2386 0.5000 0.5000
Al5 0.2436 0.3275 0.5000
# Uncorrected energy   -344.0 eV for the cell shown
# Energy of formation   -28 kJ per mole of atoms

---

# HfZr3Al2 (GGA-PBE, relaxed)
data_HfZr3Al2
_chemical_formula_sum 'Hf4 Zr12 Al8'
_symmetry_space_group_name_H-M 'P n m a'
_symmetry_Int_Tables_number 62
_symmetry_space_group_name_Hall '-P 2ac 2n'
_cell_length_a 8.1211
_cell_length_b 3.1264
_cell_length_c 19.6114
_cell_angle_alpha 90.00
_cell_angle_beta 90.00
_cell_angle_gamma 90.00
loop_
_atom_site_label
_atom_site_fract_x
_atom_site_fract_y
_atom_site_fract_z
Hf1 0.0478 0.2500 0.0657
Zr1 0.0105 0.7500 0.6600
Zr2 0.1386 0.2500 0.5379
Zr3 0.1432 0.7500 0.8009
Al1 0.1789 0.7500 0.1884
Al2 0.2365 0.7500 0.4194
# Uncorrected energy   -177.4 eV for the cell shown
# Energy of formation   -20 kJ per mole of atoms

---

# Hf8ZrAl2 (GGA-PBE, relaxed)
data_Hf8ZrAl2
_chemical_formula_sum 'Hf16 Zr2 Al4'
_symmetry_space_group_name_H-M 'C 1 2/m 1'
_symmetry_Int_Tables_number 12
_symmetry_space_group_name_Hall '-C 2y'
_cell_length_a 7.8374
_cell_length_b 13.4051
_cell_length_c 5.1807
_cell_angle_alpha 90.00
_cell_angle_beta 118.01
_cell_angle_gamma 90.00
loop_
_atom_site_label
_atom_site_fract_x
_atom_site_fract_y
_atom_site_fract_z
Hf1 0.0000 0.2163 0.0000
Hf2 0.0910 0.5000 0.7954
Hf3 0.2112 0.1147 0.6465
Zr1 0.0000 0.0000 0.0000
Al1 0.0000 0.3039 0.5000
# Uncorrected energy   -190.3 eV for the cell shown
# Energy of formation   4 kJ per mole of atoms

---

# HfZrAl2 (GGA-PBE, relaxed)
data_HfZrAl2
_chemical_formula_sum 'Hf4 Zr4 Al8'
_symmetry_space_group_name_H-M 'I -4 2 d'
_symmetry_Int_Tables_number 122
_symmetry_space_group_name_Hall 'I -4 2bw'
_cell_length_a 7.5727
_cell_length_b 7.5727
_cell_length_c 5.7638
_cell_angle_alpha 90.00
_cell_angle_beta 90.00
_cell_angle_gamma 90.00
loop_
_atom_site_label
_atom_site_fract_x
_atom_site_fract_y
_atom_site_fract_z
Hf1 0.0000 0.0000 0.0000
Zr1 0.0000 0.0000 0.5000
Al1 0.2491 0.7500 0.1250
# Uncorrected energy   -103.1 eV for the cell shown
# Energy of formation   5 kJ per mole of atoms
# Polymorph energy (0 for the lowest one)   47.5 kJ/mol of atoms